SrCaTe2 GGA-PBE optimized geometry; ΔE_f (raw) = -1.647 eV per atom; DOS(E_F) = 0.000 states/eV per atom; uncorrected energy = -4.138 eV/atom
1.0
4.579 0.000 0.000
-2.290 3.966 0.000
0.000 0.000 15.597
Sr Ca Te
2 2 4
direct
0.667 0.333 0.250
0.333 0.667 0.750
0.000 0.000 0.500
0.000 0.000 0.000
0.333 0.667 0.383
0.667 0.333 0.883
0.667 0.333 0.617
0.333 0.667 0.117